# ZnNi2IO6 (PBE+U, relaxed)
data_ZnNi2IO6
_chemical_formula_sum 'Zn2 Ni4 I2 O12'
_symmetry_space_group_name_H-M 'P n n m'
_symmetry_Int_Tables_number 58
_symmetry_space_group_name_Hall '-P 2 2n'
_cell_length_a 5.134
_cell_length_b 5.278
_cell_length_c 8.618
_cell_angle_alpha 90.00
_cell_angle_beta 90.00
_cell_angle_gamma 90.00
loop_
_atom_site_label
_atom_site_fract_x
_atom_site_fract_y
_atom_site_fract_z
_atom_site_occupancy
Zn1 0.000 0.000 0.000 1
Ni1 0.000 0.500 0.301 1
I1 0.000 0.000 0.500 1
O1 0.188 0.331 0.500 1
O2 0.231 0.826 0.341 1
# Total magnetic moment = 6.679 μB per cell
# Calculated total energy = -89.82 eV for the cell shown